# 1
DFT (PBE) results for crystalline RbRhS2 at its relaxed geometry.

Lattice parameters (Å, degrees): 3.7252 3.7252 7.2553 90.00 90.00 120.00
Last column: nearest neighbours and their distance in Å.
Space group P-3m1 (No. 164)
Asymmetric unit:
Rb (0.0000, 0.0000, 0.0000) (multiplicity 1)  6 S 3.29, 2 Rh 3.63
Rh (0.0000, 0.0000, 0.5000) (multiplicity 1)  6 S 2.43
S (0.3333, 0.6667, 0.6567) (multiplicity 2)  3 Rh 2.43

Properties
**Calculated volume**: 21.8 A^3/atom
**Energy relative to the elements, uncorrected**: -700 meV/atom



# 2
DFT (PBE) results for crystalline Li2Sb3H2Rh5 at its relaxed geometry.

Lattice parameters (Å, degrees): 4.0615 4.0615 21.1167 90.00 90.00 90.00
Last column: nearest neighbours and their distance in Å.
Space group I4/mmm (No. 139)
Asymmetric unit:
Li (0.0000, 0.0000, 0.1854) (multiplicity 4)  1 H 2.03
Sb (0.0000, 0.0000, 0.3195) (multiplicity 4)  4 Rh 2.68, 5 Li 2.83-2.87
Sb (0.0000, 0.0000, 0.5000) (multiplicity 2)  12 Rh 2.87-2.90
H (0.0000, 0.0000, 0.0890) (multiplicity 4)  5 Rh 1.88-2.04, 1 Li 2.03
Rh (0.0000, 0.0000, 0.0000) (multiplicity 2)  2 H 1.88
Rh (0.0000, 0.5000, 0.0978) (multiplicity 8)  2 H 2.04

Properties
**Calculated volume**: 14.5 A^3/atom
**Electronic total energy**: -127.55 eV/cell



# 3
DFT (PBE) results for crystalline SeS6I2 at its relaxed geometry.

Lattice parameters (Å, degrees): 4.1281 7.3212 10.6794 99.05 94.37 103.00
Last column: nearest neighbours and their distance in Å.
Space group P-1 (No. 2)
Asymmetric unit:
Se (0.0000, 0.0000, 0.0000) (multiplicity 1)  4 I 2.84
S (0.0078, 0.7265, 0.6220) (multiplicity 2)  2 S 2.07
S (0.1375, 0.4893, 0.6744) (multiplicity 2)  2 S 2.07
S (0.1881, 0.7378, 0.4468) (multiplicity 2)  2 S 2.07
I (0.4235, 0.7712, 0.0767) (multiplicity 2)  2 Se 2.84

Properties
**Calculated volume**: 34.3 A^3/atom
**Energy relative to the elements, uncorrected**: 94 meV/atom



# 4
DFT (PBE) results for crystalline Ac5H at its relaxed geometry.

Lattice parameters (Å, degrees): 3.8143 19.6814 6.5859 90.00 90.00 90.00
Last column: nearest neighbours and their distance in Å.
Space group Cmmm (No. 65)
Asymmetric unit:
Ac (0.0000, 0.0000, 0.0000) (multiplicity 2)  4 H 3.81, 10 Ac 3.81-3.83
Ac (0.0000, 0.0994, 0.5000) (multiplicity 4)  2 H 2.73
Ac (0.0000, 0.3326, 0.0000) (multiplicity 4)  10 Ac 3.77-4.03
H (0.0000, 0.5000, 0.5000) (multiplicity 2)  4 Ac 2.73

Properties
**Calculated volume**: 41.2 A^3/atom
**Electronic total energy**: -44.81 eV/cell



| no. | total moment (μB/cell) |
| --- | --- |
| 1 | 0.00 |
| 2 | 0.00 |
| 3 | 0.00 |
| 4 | 0.00 |